10
Lattice="-5.290 5.290 2.866 5.290 -5.290 2.866 5.290 5.290 -2.866" Properties=species:S:1:pos:R:3 comment="Tb4Dy5Mg, relaxed, DFT PBE-GGA" dos_ef_per_ev_fu=11.71 total_energy_ev_per_atom=-4.108 sg="I4mm, No. 107" pbc="T T T"
Tb 3.388 0.000 0.000
Tb 7.192 0.000 0.000
Tb 0.000 3.388 0.000
Tb 0.000 7.192 0.000
Dy 3.324 3.324 0.059
Dy 1.966 -1.966 2.926
Dy -1.966 1.966 2.926
Dy 1.966 1.966 2.926
Dy 0.000 0.000 4.545
Mg 0.000 0.000 1.556